[1]
Crystalline SbOsO2 at its relaxed geometry. Source: Alexandria via LeMat-Bulk, functional GGA-PBE.

a b c (Å): 7.0394 7.0394 7.0394
angles (deg): 25.79 25.79 25.79
Last column: nearest neighbours and their distance in Å.
Sites, in units of the cell vectors:
O 0.8854 0.8854 0.8854  3 Os 2.10, 1 Sb 2.34
Os 0.5000 0.5000 0.5000  6 O 2.10
O 0.1146 0.1146 0.1146  3 Os 2.10, 1 Sb 2.34
Sb 0.0000 0.0000 0.0000  2 O 2.34

Output
SG ... R-3m (166)

[2]
Crystalline Sb2OsO8 at its relaxed geometry. Source: Alexandria via LeMat-Bulk, functional GGA-PBE.

a b c (Å): 7.7825 5.4616 5.4616
angles (deg): 120.02 106.46 106.46
Last column: nearest neighbours and their distance in Å.
Sites, in units of the cell vectors:
O 0.8371 0.8507 0.4990  2 Sb 1.97-2.01
O 0.1879 0.7487 0.7487  1 Os 2.00, 2 Sb 2.16
O 0.5000 0.1844 0.8156  1 Os 1.74
Sb 0.0000 0.3183 0.6817  6 O 1.97-2.16
Sb 0.0000 0.6817 0.3183  6 O 1.97-2.16
O 0.1629 0.1493 0.5010  2 Sb 1.97-2.01
O 0.5000 0.8156 0.1844  1 Os 1.74
O 0.8121 0.2513 0.2513  1 Os 2.00, 2 Sb 2.16
O 0.1629 0.5010 0.1493  2 Sb 1.97-2.01
O 0.8371 0.4990 0.8507  2 Sb 1.97-2.01
Os 0.5000 0.0000 0.0000  2 O 1.74

Output
SG ... C2/m (12)

[3]
Crystalline Si2SbOsO at its relaxed geometry. Source: Alexandria via LeMat-Bulk, functional GGA-PBE.

a b c (Å): 5.0707 3.8430 5.0707
angles (deg): 90.00 90.00 90.00
Last column: nearest neighbours and their distance in Å.
Sites, in units of the cell vectors:
O 0.0000 0.5000 0.0000  2 Sb 1.92
Sb 0.0000 0.0000 0.0000  2 O 1.92
Si 0.5000 0.0000 0.0000  2 Sb 2.54
Os 0.5000 0.5000 0.5000  8 Si 3.18
Si 0.0000 0.0000 0.5000  2 Sb 2.54

Output
SG ... P4/mmm (123)

[4]
Crystalline Sb2TeOsO at its relaxed geometry. Source: Alexandria via LeMat-Bulk, functional GGA-PBE.

a b c (Å): 5.1200 5.1200 5.1735
angles (deg): 90.00 90.00 90.00
Last column: nearest neighbours and their distance in Å.
Sites, in units of the cell vectors:
Os 0.0000 0.0000 0.0000  4 Sb 2.56, 2 Te 2.59
Te 0.0000 0.0000 0.5000  2 Os 2.59
Sb 0.0000 0.5000 0.0000  2 Os 2.56
Sb 0.5000 0.0000 0.0000  2 Os 2.56
O 0.5000 0.5000 0.5000  4 Te 3.62, 8 Sb 3.64

Output
SG ... P4/mmm (123)
Offset from the most stable computed form ... 1.92 eV/f.u.

[5]
Crystalline Sb2TeOsO at its relaxed geometry. Source: Alexandria via LeMat-Bulk, functional GGA-PBE.

a b c (Å): 4.5865 4.5865 4.7059
angles (deg): 90.00 90.00 90.00
Last column: nearest neighbours and their distance in Å.
Sites, in units of the cell vectors:
Os 0.5000 0.5000 0.5000  4 Te 3.24, 8 Sb 3.29
O 0.0000 0.0000 0.0000  4 Sb 2.29, 2 Te 2.35
Te 0.0000 0.0000 0.5000  2 O 2.35
Sb 0.0000 0.5000 0.0000  2 O 2.29
Sb 0.5000 0.0000 0.0000  2 O 2.29

Output
SG ... P4/mmm (123)
Offset from the most stable computed form ... 0.00 eV/f.u.

[6]
Crystalline Tl2SbOsO6 at its relaxed geometry. Source: Alexandria via LeMat-Bulk, functional GGA-PBE.

a b c (Å): 5.5466 5.5467 6.9838
angles (deg): 66.55 66.55 90.00
Last column: nearest neighbours and their distance in Å.
Sites, in units of the cell vectors:
O 0.2655 0.2660 0.9996  1 Os 1.84
O 0.7345 0.7340 0.0004  1 Os 1.84
O 0.2658 0.7347 0.0000  1 Os 1.84
Tl 0.2499 0.7500 0.5000  4 O 2.94
O 0.1651 0.1651 0.6701  1 Sb 1.90
Sb 0.0000 0.0000 0.0000  6 O 1.90-2.08
Os 0.5000 0.5000 0.0000  4 O 1.84
Tl 0.7501 0.2500 0.5000  4 O 2.94
O 0.7342 0.2653 0.0000  1 Os 1.84
O 0.8349 0.8349 0.3299  1 Sb 1.90

Output
SG ... I4/mmm (139)

[7]
Crystalline ScOs3O at its relaxed geometry. Source: Alexandria via LeMat-Bulk, functional GGA-PBE.

a b c (Å): 4.1336 4.1336 4.1336
angles (deg): 90.00 90.00 90.00
Last column: nearest neighbours and their distance in Å.
Sites, in units of the cell vectors:
O 0.0000 0.0000 0.0000  6 Os 2.07
Os 0.5000 0.0000 0.0000  2 O 2.07
Os 0.0000 0.5000 0.0000  2 O 2.07
Sc 0.5000 0.5000 0.5000  12 Os 2.92
Os 0.0000 0.0000 0.5000  2 O 2.07

Output
SG ... Pm-3m (221)
Offset from the most stable computed form ... 0.00 eV/f.u.

[8]
Crystalline Sc2OsO6 at its relaxed geometry. Source: Alexandria via LeMat-Bulk, functional GGA-PBE.

a b c (Å): 4.7840 4.7840 9.4336
angles (deg): 90.00 90.00 90.00
Last column: nearest neighbours and their distance in Å.
Sites, in units of the cell vectors:
O 0.2857 0.2857 0.5000  1 Os 1.93, 2 Sc 2.15
O 0.7857 0.2143 0.0000  1 Os 1.93, 2 Sc 2.15
O 0.1919 0.8081 0.3464  1 Os 1.95, 2 Sc 2.09-2.12
O 0.3081 0.3081 0.8464  1 Os 1.95, 2 Sc 2.09-2.12
O 0.8081 0.1919 0.3464  1 Os 1.95, 2 Sc 2.09-2.12
Sc 0.5000 0.5000 0.6685  6 O 2.09-2.15
Sc 0.0000 0.0000 0.8315  6 O 2.09-2.15
Os 0.5000 0.5000 0.0000  6 O 1.93-1.95
Sc 0.0000 0.0000 0.1685  6 O 2.09-2.15
Sc 0.5000 0.5000 0.3315  6 O 2.09-2.15
O 0.7143 0.7143 0.5000  1 Os 1.93, 2 Sc 2.15
O 0.6919 0.6919 0.8464  1 Os 1.95, 2 Sc 2.09-2.12
O 0.8081 0.1919 0.6536  1 Os 1.95, 2 Sc 2.09-2.12
O 0.1919 0.8081 0.6536  1 Os 1.95, 2 Sc 2.09-2.12
O 0.2143 0.7857 0.0000  1 Os 1.93, 2 Sc 2.15
O 0.6919 0.6919 0.1536  1 Os 1.95, 2 Sc 2.09-2.12
O 0.3081 0.3081 0.1536  1 Os 1.95, 2 Sc 2.09-2.12
Os 0.0000 0.0000 0.5000  6 O 1.93-1.95

Output
SG ... P4_2/mnm (136)

no.,formation energy without anion corrections (meV/atom)
1,-260.8
2,-815.1
3,1305.5
4,1003.9
5,620.4
6,-844.6
7,337.2
8,-2350.0